Sm2TcNi3Ge4: optimized geometry, PBE.

Summary:
- calculated density (g cm⁻³) = 8.42
- crystal system = tetragonal
- symmetry = No. 115
- formation enthalpy at 0 K (kJ per mole of atoms) = -61

a b c (Å): 4.136 4.136 9.973
angles (deg): 90.00 90.00 90.00
Atoms (fractional coordinates):
1 Sm 0.500 0.000 0.241
2 Sm 0.000 0.500 0.759
3 Tc 0.500 0.500 0.500
4 Ni 0.000 0.000 0.500
5 Ni 0.500 0.000 0.876
6 Ni 0.000 0.500 0.124
7 Ge 0.500 0.500 0.000
8 Ge 0.000 0.000 0.000
9 Ge 0.500 0.000 0.636
10 Ge 0.000 0.500 0.364